Record 1
Material: KZrAl
Method: DFT, PBE-GGA
State: optimized geometry

Output
excess energy over the best structure of this formula in the dataset = 0.466 eV per atom
crystal system = tetragonal
formation energy from the elements = 0.46 eV/atom

POSCAR file:
```
KZrAl
1.0
-4.801 -0.068 1.976
0.026 -5.191 -0.117
3.121 -0.156 7.578
Zr K Al
2 2 2
Cartesian
1.886 -2.689 4.490
-1.153 -0.096 4.017
0.510 -2.620 1.150
0.223 -0.165 7.358
-0.827 -2.707 4.718
1.560 -0.078 3.789
```


Record 2
Material: KZr2Al
Method: DFT, PBE-GGA
State: optimized geometry

Output
crystal system = tetragonal
formation energy from the elements = 0.67 eV/atom

POSCAR file:
```
KZr2Al
1.0
5.701 0.003 0.000
2.140 5.284 0.000
-3.921 -2.644 3.185
Zr K Al
2 1 1
Cartesian
1.070 2.642 1.592
0.000 0.000 0.000
2.850 0.002 1.592
3.921 2.644 0.000
```


Record 3
Material: KZr2Al
Method: DFT, PBE-GGA
State: optimized geometry

Output
crystal system = orthorhombic
formation energy from the elements = 0.30 eV/atom

POSCAR file:
```
KZr2Al
1.0
3.118 0.000 0.000
0.000 3.878 0.000
0.000 0.000 9.476
Al Zr K
1 2 1
Cartesian
1.559 1.939 2.369
0.000 0.000 0.880
0.000 0.000 3.857
1.559 1.939 7.107
```


Record 4
Material: KZrAl
Method: DFT, PBE-GGA
State: optimized geometry

Output
excess energy over the best structure of this formula in the dataset = 0.350 eV per atom
crystal system = triclinic
formation energy from the elements = 0.34 eV/atom

POSCAR file:
```
KZrAl
1.0
-4.934 -2.125 -1.039
1.996 -8.339 -0.487
1.492 0.967 5.186
Zr Al K
2 2 2
Cartesian
-0.769 -7.942 3.327
1.749 -7.049 3.873
-1.125 -9.401 0.809
1.367 -8.381 1.327
0.120 -4.922 1.140
-1.400 -2.892 4.037
```


Record 5
Material: KZr2Al
Method: DFT, PBE-GGA
State: optimized geometry

Output
crystal system = orthorhombic
formation energy from the elements = 0.62 eV/atom

POSCAR file:
```
KZr2Al
1.0
-4.150 2.874 4.160
-2.144 -3.357 5.188
4.708 2.911 -3.485
K Zr Al
1 2 1
Cartesian
-0.372 -0.350 3.308
-6.111 -0.468 9.077
-1.264 2.774 2.630
-3.279 -0.251 4.870
```


Record 6
Material: KZrAl
Method: DFT, PBE-GGA
State: optimized geometry

Output
excess energy over the best structure of this formula in the dataset = 0.079 eV per atom
crystal system = triclinic
formation energy from the elements = 0.07 eV/atom

POSCAR file:
```
KZrAl
1.0
4.738 0.001 0.018
0.000 3.339 -0.005
0.743 -1.428 12.670
Al Zr K
2 2 2
Cartesian
1.633 -0.352 4.104
3.375 2.985 1.742
3.974 1.318 4.133
1.034 1.315 1.713
4.066 -0.111 11.259
1.690 1.324 7.258
```


Record 7
Material: K3ZrAl
Method: DFT, PBE-GGA
State: optimized geometry

Output
excess energy over the best structure of this formula in the dataset = 0.000 eV per atom
crystal system = cubic
formation energy from the elements = 1.34 eV/atom

POSCAR file:
```
K3ZrAl
1.0
6.408 0.000 0.000
0.000 6.408 0.000
0.000 0.000 6.408
Al K Zr
1 3 1
Cartesian
0.000 0.000 0.000
0.000 0.000 3.204
3.204 0.000 0.000
0.000 3.204 0.000
3.204 3.204 3.204
```


Record 8
Material: KZr2Al
Method: DFT, PBE-GGA
State: optimized geometry

Output
crystal system = monoclinic
formation energy from the elements = 0.42 eV/atom

POSCAR file:
```
KZr2Al
1.0
5.314 0.000 0.008
4.420 2.951 0.008
0.772 0.234 7.413
K Zr Al
1 2 1
Cartesian
2.553 0.774 1.944
7.893 2.393 5.496
0.875 0.265 6.736
5.209 1.579 4.379
```


Record 9
Material: KZr2Al
Method: DFT, PBE-GGA
State: optimized geometry

Output
crystal system = tetragonal
formation energy from the elements = 0.65 eV/atom

POSCAR file:
```
KZr2Al
1.0
-2.051 -3.723 1.269
-0.770 -1.089 -4.440
4.038 -2.273 -0.143
Zr K Al
2 1 1
Cartesian
1.634 -1.681 -2.291
0.000 0.000 0.000
0.993 -2.998 0.563
-1.411 -2.406 -1.585
```


Record 10
Material: LaAl2
Method: DFT, PBE-GGA
State: optimized geometry

Output
crystal system = orthorhombic
formation energy from the elements = -0.01 eV/atom

POSCAR file:
```
LaAl2
1.0
-8.172 6.212 3.278
6.743 -5.426 -6.419
-2.435 -3.346 0.270
La Al
2 4
Cartesian
0.089 -4.169 -3.078
-3.953 1.609 0.207
-9.308 3.164 3.031
-0.411 -1.155 -2.096
5.444 -5.724 -5.902
-3.453 -1.404 -0.775
```


Record 11
Material: La12Al
Method: DFT, PBE-GGA
State: optimized geometry

Output
crystal system = cubic
formation energy from the elements = 0.04 eV/atom

POSCAR file:
```
La12Al
1.0
-8.385 0.592 -0.689
2.710 -6.713 -4.326
2.099 -0.856 8.123
La Al
12 1
Cartesian
-5.246 -1.205 4.242
2.236 -5.218 3.839
0.470 -2.439 2.445
-0.637 -5.870 1.595
1.670 -5.773 -1.135
-4.046 -4.538 0.662
-5.811 -1.759 -0.732
-3.075 -5.451 -2.793
-2.585 -3.774 4.059
-2.938 -1.108 1.513
-0.991 -3.203 -0.952
-0.501 -1.526 5.901
0.000 0.000 0.000
```


Record 12
Material: LaAl
Method: DFT, PBE-GGA
State: optimized geometry

Output
crystal system = orthorhombic
formation energy from the elements = -0.41 eV/atom

POSCAR file:
```
LaAl
1.0
6.119 0.005 0.000
-1.197 6.001 0.000
0.000 0.000 5.765
La Al
4 4
Cartesian
0.351 3.085 1.441
2.956 0.950 1.441
4.571 2.920 4.324
1.965 5.056 4.324
3.424 4.179 1.441
1.497 1.827 4.324
0.000 0.000 2.882
0.000 0.000 0.000
```


Record 13
Material: La3Al
Method: DFT, PBE-GGA
State: optimized geometry

Output
crystal system = orthorhombic
formation energy from the elements = -0.16 eV/atom

POSCAR file:
```
La3Al
1.0
-3.461 -0.338 -1.041
1.378 -0.919 -4.285
0.217 -7.206 1.615
La Al
3 1
Cartesian
-0.871 -6.282 -1.396
0.109 -3.603 0.807
-0.995 -2.180 -2.315
0.000 0.000 0.000
```


Record 14
Material: La5Al
Method: DFT, PBE-GGA
State: optimized geometry

Output
excess energy over the best structure of this formula in the dataset = 0.354 eV per atom
crystal system = cubic
formation energy from the elements = 0.26 eV/atom

POSCAR file:
```
La5Al
1.0
-5.328 -1.095 3.748
-5.049 4.259 -0.111
-5.720 -1.731 -2.816
La Al
5 1
Cartesian
-7.531 -1.254 0.571
-7.192 1.772 1.937
-10.082 0.898 0.514
-4.024 0.358 0.205
-7.390 1.451 -1.379
0.000 0.000 0.000
```


Record 15
Material: LaAl
Method: DFT, PBE-GGA
State: optimized geometry

Output
crystal system = tetragonal
formation energy from the elements = -0.16 eV/atom

POSCAR file:
```
LaAl
1.0
9.258 0.000 0.000
0.000 9.258 0.000
0.000 0.000 5.344
Al La
8 8
Cartesian
7.916 1.342 0.000
7.916 7.916 0.000
1.342 1.342 0.000
3.287 3.287 2.672
5.971 5.971 2.672
3.287 5.971 2.672
1.342 7.916 0.000
5.971 3.287 2.672
7.284 4.629 0.000
0.000 6.604 2.672
4.629 7.284 0.000
1.974 4.629 0.000
0.000 2.655 2.672
6.604 0.000 2.672
4.629 1.974 0.000
2.655 0.000 2.672
```


Record 16
Material: La3Al
Method: DFT, PBE-GGA
State: optimized geometry

Output
crystal system = cubic
formation energy from the elements = -0.19 eV/atom

POSCAR file:
```
La3Al
1.0
4.968 0.000 0.000
0.000 4.969 0.000
0.000 0.000 4.969
La Al
3 1
Cartesian
2.484 2.485 0.412
0.000 0.000 0.417
0.000 2.485 2.899
2.484 0.000 2.898
```


Record 17
Material: La5Al
Method: DFT, PBE-GGA
State: optimized geometry

Output
excess energy over the best structure of this formula in the dataset = 0.007 eV per atom
crystal system = orthorhombic
formation energy from the elements = -0.09 eV/atom

POSCAR file:
```
La5Al
1.0
-2.607 -4.174 0.674
1.626 -0.252 4.726
-7.016 4.381 -0.002
Al La
1 5
Cartesian
0.000 0.000 0.000
-0.490 -2.213 2.700
-4.793 0.738 4.338
-1.228 1.273 3.140
-4.162 2.855 1.584
-3.203 -0.784 1.060
```


Record 18
Material: La3Al
Method: DFT, PBE-GGA
State: optimized geometry

Output
crystal system = trigonal
formation energy from the elements = -0.03 eV/atom

POSCAR file:
```
La3Al
1.0
6.370 0.000 -0.001
-2.837 5.703 -0.001
-2.837 -4.581 3.396
La Al
3 1
Cartesian
1.766 2.851 -0.001
1.766 -2.291 1.698
-2.837 0.561 1.698
0.000 0.000 0.000
```


Record 19
Material: La3Al
Method: DFT, PBE-GGA
State: optimized geometry

Output
crystal system = cubic
formation energy from the elements = -0.03 eV/atom

POSCAR file:
```
La3Al
1.0
-4.285 -0.536 3.531
0.463 -3.313 4.464
0.299 2.226 5.106
La Al
3 1
Cartesian
-2.642 -1.218 9.826
-0.881 -0.406 3.275
-1.762 -0.812 6.551
0.000 0.000 0.000
```


Record 20
Material: La3Al
Method: DFT, PBE-GGA
State: optimized geometry

Output
crystal system = monoclinic
formation energy from the elements = -0.07 eV/atom

POSCAR file:
```
La3Al
1.0
-0.493 -2.962 -4.695
3.435 -1.191 0.391
-1.147 -5.104 3.340
Al La
1 3
Cartesian
0.000 0.000 0.000
0.207 -2.846 -1.534
1.144 -3.147 1.865
1.588 -6.410 0.569
```


Record 21
Material: La5Al3
Method: DFT, PBE-GGA
State: optimized geometry

Output
excess energy over the best structure of this formula in the dataset = 0.063 eV per atom
crystal system = orthorhombic
formation energy from the elements = -0.21 eV/atom

POSCAR file:
```
La5Al3
1.0
3.975 -5.522 0.000
3.975 5.522 0.000
0.000 0.000 5.405
Al La
3 5
Cartesian
3.975 0.000 0.000
3.975 -3.175 2.702
3.975 3.175 2.702
0.000 0.000 0.000
1.987 2.761 0.000
5.562 0.000 2.702
1.987 -2.761 0.000
2.388 0.000 2.702
```


Record 22
Material: LaAl
Method: DFT, PBE-GGA
State: optimized geometry

Output
crystal system = cubic
formation energy from the elements = 0.49 eV/atom

POSCAR file:
```
LaAl
1.0
-8.761 -2.791 -0.195
1.777 -5.059 -7.473
2.160 -7.156 5.358
Al La
8 8
Cartesian
-1.544 -6.997 -2.463
2.623 -11.239 -1.916
-6.037 -7.778 -6.319
-1.465 -7.431 0.194
-0.499 -1.554 -0.239
-5.734 -9.441 3.855
-2.911 -9.056 -1.393
-3.727 -6.527 -0.956
0.182 -9.428 -1.547
-4.123 -8.501 1.427
0.066 -6.057 -4.891
-4.280 -7.644 -3.815
-1.426 -4.437 -0.683
0.292 -7.298 2.697
-6.167 -4.716 -0.587
-3.838 -11.940 -1.837
```


Record 23
Material: LaAl
Method: DFT, PBE-GGA
State: optimized geometry

Output
crystal system = hexagonal
formation energy from the elements = -0.05 eV/atom

POSCAR file:
```
LaAl
1.0
3.570 0.000 0.000
-1.785 3.091 0.000
0.000 0.000 5.103
La Al
1 1
Cartesian
1.785 1.030 2.551
0.000 0.000 0.000
```


Record 24
Material: La17Al12
Method: DFT, PBE-GGA
State: optimized geometry

Output
crystal system = cubic
formation energy from the elements = -0.31 eV/atom

POSCAR file:
```
La17Al12
1.0
10.043 0.000 0.000
-3.348 9.469 0.000
-3.348 -4.734 8.200
La Al
17 12
Cartesian
-1.830 3.295 5.707
-2.979 4.107 2.493
0.000 0.000 0.000
1.092 5.547 0.000
0.369 0.522 5.889
3.524 0.000 0.000
4.440 1.961 3.396
1.092 -2.773 4.804
-1.175 3.323 0.000
3.717 5.256 2.311
4.865 2.879 0.000
-2.979 0.105 4.804
3.717 -0.627 5.707
4.865 -1.439 2.493
2.173 3.073 5.323
-1.175 -1.661 2.877
0.369 4.840 3.396
6.096 -3.050 5.283
-1.560 -2.206 6.744
3.719 7.781 0.000
-4.907 2.209 6.738
7.067 0.844 1.462
-1.560 6.944 1.462
3.719 -3.890 6.738
-0.599 1.684 2.918
1.788 2.529 1.456
1.788 -0.004 2.918
-4.907 4.731 5.283
6.096 6.100 0.000
```


Record 25
Material: LaAl12
Method: DFT, PBE-GGA
State: optimized geometry

Output
crystal system = tetragonal
formation energy from the elements = -0.12 eV/atom

POSCAR file:
```
LaAl12
1.0
1.116 3.238 4.221
-0.036 -3.508 6.200
6.975 0.319 1.412
Al La
12 1
Cartesian
5.979 1.089 4.584
2.076 -1.041 7.249
1.849 0.194 2.862
4.861 -0.895 6.402
3.194 0.944 5.432
6.206 -0.145 8.971
3.488 0.159 0.706
4.473 -1.047 3.121
-0.018 -1.754 3.100
0.540 -0.135 5.211
4.045 1.778 2.817
2.467 -2.142 4.491
0.000 0.000 0.000
```